## Hg2WO6 (PBE+U)

Data for an optimized crystal structure of Hg2WO6.

```
Hg2WO6
1.0
5.015 0.000 0.000
0.000 5.015 0.000
0.000 0.000 10.229
Hg W O
4 2 12
Direct
0.000 0.000 0.336
0.500 0.500 0.836
0.500 0.500 0.164
0.000 0.000 0.664
0.000 0.000 0.000
0.500 0.500 0.500
0.318 0.318 0.357
0.682 0.682 0.357
0.182 0.818 0.857
0.818 0.182 0.857
0.182 0.818 0.143
0.818 0.182 0.143
0.318 0.318 0.643
0.682 0.682 0.643
0.276 0.276 0.000
0.724 0.724 0.000
0.224 0.776 0.500
0.776 0.224 0.500
```

Magnetic moment   1.60 μB/f.u.
Calculated total energy   -88.46 eV for the cell shown
Fermi-level density of states   8.38 states/eV/f.u.